{
  "formula": "CuSiRu3",
  "functional": "GGA-PBE",
  "state": "relaxed",
  "formation_energy_uncorrected_ev_per_atom": 1.652,
  "sg": "Pm-3m (221)",
  "lattice": [[-1.154, 3.612, 2.270], [-0.576, -2.462, 3.625], [4.227, 0.651, 1.114]],
  "species": ["Ru", "Ru", "Ru", "Si", "Cu"],
  "fractional_positions": [[0.000, 0.000, 0.500], [0.500, 0.000, 0.000], [0.000, 0.500, 0.000], [0.500, 0.500, 0.500], [0.000, 0.000, 0.000]]
}

***

{
  "formula": "PuTlS3",
  "functional": "GGA-PBE",
  "state": "relaxed",
  "formation_energy_uncorrected_ev_per_atom": -0.865,
  "sg": "Pm-3m (221)",
  "lattice": [[5.166, 0.000, 0.000], [0.000, 5.166, 0.000], [0.000, 0.000, 5.166]],
  "species": ["S", "S", "S", "Tl", "Pu"],
  "fractional_positions": [[0.000, 0.000, 0.500], [0.000, 0.500, 0.000], [0.500, 0.000, 0.000], [0.500, 0.500, 0.500], [0.000, 0.000, 0.000]]
}

***

{
  "formula": "Ba2ZrTl",
  "functional": "GGA-PBE",
  "state": "relaxed",
  "delta_e_f_mev_per_atom": 181.9,
  "sg": "Cm (8)",
  "lattice": [[7.332, 0.010, 0.043], [6.276, 3.791, 0.043], [2.478, 0.692, 5.507]],
  "species": ["Ba", "Ba", "Zr", "Tl"],
  "fractional_positions": [[0.218, 0.218, 0.282], [0.017, 0.017, 0.982], [0.794, 0.794, 0.706], [0.470, 0.470, 0.530]]
}

***

{
  "formula": "Sm2In12Pd7",
  "functional": "GGA-PBE",
  "state": "relaxed",
  "delta_e_f_mev_per_atom": -473.7,
  "sg": "P-6 (174)",
  "lattice": [[-2.930, 1.452, 2.406], [-7.861, -4.468, -6.879], [4.093, -6.100, 8.667]],
  "species": ["Pd", "Pd", "Pd", "Pd", "Pd", "Pd", "Pd", "In", "In", "In", "In", "In", "In", "In", "In", "In", "In", "In", "In", "Sm", "Sm"],
  "fractional_positions": [[0.500, 0.909, 0.370], [0.000, 0.056, 0.796], [0.500, 0.630, 0.539], [0.500, 0.461, 0.091], [0.000, 0.333, 0.667], [0.000, 0.739, 0.944], [0.000, 0.204, 0.261], [0.000, 0.947, 0.217], [0.500, 0.390, 0.285], [0.500, 0.558, 0.756], [0.000, 0.783, 0.730], [0.500, 0.198, 0.442], [0.000, 0.454, 0.508], [0.500, 0.896, 0.610], [0.000, 0.055, 0.546], [0.500, 0.715, 0.104], [0.000, 0.492, 0.945], [0.000, 0.270, 0.053], [0.500, 0.244, 0.802], [0.500, 0.000, 0.000], [0.000, 0.667, 0.333]]
}

***

{
  "formula": "TbCe3Pm2Bi6",
  "functional": "GGA-PBE",
  "state": "relaxed",
  "delta_e_f_mev_per_atom": -858.5,
  "sg": "C2/m (12)",
  "lattice": [[-2.831, -4.067, -6.188], [-0.544, -3.018, 7.311], [-5.520, 5.667, 0.495]],
  "species": ["Bi", "Bi", "Bi", "Bi", "Bi", "Bi", "Pm", "Pm", "Ce", "Ce", "Ce", "Tb"],
  "fractional_positions": [[0.247, 0.247, 0.751], [0.413, 0.082, 0.248], [0.753, 0.753, 0.249], [0.587, 0.918, 0.752], [0.918, 0.587, 0.752], [0.082, 0.413, 0.248], [0.334, 0.666, 0.000], [0.666, 0.334, 0.000], [0.500, 0.500, 0.500], [0.832, 0.168, 0.500], [0.168, 0.832, 0.500], [0.000, 0.000, 0.000]]
}

***

{
  "formula": "LiEr2Tc",
  "functional": "GGA-PBE",
  "state": "relaxed",
  "delta_e_f_mev_per_atom": -60.8,
  "sg": "Fm-3m (225)",
  "lattice": [[-2.850, -0.893, 3.873], [-1.156, -4.604, 1.176], [1.900, -2.050, 4.014]],
  "species": ["Er", "Er", "Li", "Tc"],
  "fractional_positions": [[0.250, 0.250, 0.250], [0.750, 0.750, 0.750], [0.500, 0.500, 0.500], [0.000, 0.000, 0.000]]
}

***

{
  "formula": "ZrTlPS2",
  "functional": "GGA-PBE",
  "state": "relaxed",
  "formation_energy_uncorrected_ev_per_atom": -0.445,
  "sg": "P4/mmm (123)",
  "lattice": [[5.023, 0.000, 0.000], [0.000, 5.023, 0.000], [0.000, 0.000, 5.171]],
  "species": ["P", "Zr", "S", "S", "Tl"],
  "fractional_positions": [[0.000, 0.000, 0.500], [0.000, 0.000, 0.000], [0.000, 0.500, 0.000], [0.500, 0.000, 0.000], [0.500, 0.500, 0.500]]
}

***

{
  "formula": "Na2AcGaF8",
  "functional": "GGA-PBE",
  "state": "relaxed",
  "formation_energy_uncorrected_ev_per_atom": -3.160,
  "sg": "P2/m (10)",
  "lattice": [[-2.317, -1.063, -3.692], [4.607, -1.863, -2.181], [-1.366, -6.611, 2.760]],
  "species": ["F", "F", "F", "F", "F", "F", "F", "F", "Ac", "Ga", "Na", "Na"],
  "fractional_positions": [[0.134, 0.791, 0.206], [0.866, 0.209, 0.794], [0.333, 0.215, 0.000], [0.134, 0.791, 0.794], [0.866, 0.209, 0.206], [0.547, 0.748, 0.500], [0.453, 0.252, 0.500], [0.667, 0.785, 0.000], [0.000, 0.000, 0.500], [0.000, 0.000, 0.000], [0.500, 0.500, 0.778], [0.500, 0.500, 0.222]]
}

***

{
  "formula": "SrNiAgAs2",
  "functional": "GGA-PBE",
  "state": "relaxed",
  "delta_e_f_mev_per_atom": -258.4,
  "sg": "P4/mmm (123)",
  "lattice": [[-2.934, 2.769, -2.456], [0.074, -3.241, -3.743], [-3.701, -2.254, 1.879]],
  "species": ["As", "As", "Sr", "Ag", "Ni"],
  "fractional_positions": [[0.000, 0.000, 0.500], [0.500, 0.000, 0.000], [0.500, 0.500, 0.500], [0.000, 0.500, 0.000], [0.000, 0.000, 0.000]]
}

***

{
  "formula": "Pm3CuNi2",
  "functional": "GGA-PBE",
  "state": "relaxed",
  "delta_e_f_mev_per_atom": -226.6,
  "sg": "P4/mmm (123)",
  "lattice": [[-2.055, 2.825, -0.259], [-2.410, -1.570, 1.999], [4.482, 4.048, 8.582]],
  "species": ["Cu", "Pm", "Pm", "Pm", "Ni", "Ni"],
  "fractional_positions": [[0.500, 0.500, 0.500], [0.000, 0.000, 0.325], [0.000, 0.000, 0.000], [0.000, 0.000, 0.675], [0.500, 0.500, 0.166], [0.500, 0.500, 0.834]]
}

***

Number 1: total moment 2.4 μB per cell. Number 2: total moment 3.0 μB per cell. Number 3: total moment 1.1 μB per cell. Number 4: total moment 0.0 μB per cell. Number 5: total moment 2.6 μB per cell. Number 6: total moment 0.0 μB per cell. Number 7: total moment 0.0 μB per cell. Number 8: total moment 0.1 μB per cell. Number 9: total moment 0.0 μB per cell. Number 10: total moment 0.0 μB per cell.